# 1
This record from Alexandria describes a relaxed KMgSi2Pd crystal. The functional is GGA-PBE.

Structure (extended XYZ):
```
5
Lattice="5.217 0.000 0.000 0.000 5.291 0.000 0.000 0.000 5.217" Properties=species:S:1:pos:R:3 pbc="T T T"
K 0.000 0.000 0.000
Pd 2.609 2.646 2.609
Si 0.000 0.000 2.609
Si 2.609 0.000 0.000
Mg 0.000 2.646 0.000
```

ρ: 2.61 g/cm³
total moment: 0.00 μB per cell
uncorrected formation energy: 1.90 eV/atom



# 2
This record from Alexandria describes a relaxed Li2SnTe2 crystal. The functional is GGA-PBE.

Structure (extended XYZ):
```
5
Lattice="-4.030 -0.864 -0.809 0.572 -3.934 1.356 -3.531 -0.329 7.040" Properties=species:S:1:pos:R:3 pbc="T T T"
Te -2.180 -1.881 1.967
Te -4.809 -3.246 5.621
Li -4.645 -1.796 3.253
Li -2.344 -3.331 4.335
Sn 0.000 0.000 0.000
```

ρ: 5.00 g/cm³
relative energy among the computed polymorphs: 0.006 eV/atom
total moment: 0.00 μB per cell
uncorrected formation energy: -0.53 eV/atom



# 3
This record from Alexandria describes a relaxed K2PaB2O6 crystal. The functional is GGA-PBE.

Structure (extended XYZ):
```
11
Lattice="-2.338 -0.491 -4.987 -3.077 -0.545 4.562 1.672 6.612 -1.435" Properties=species:S:1:pos:R:3 pbc="T T T"
B -0.318 1.683 -0.016
B -3.425 3.894 -1.843
O -2.193 4.121 -2.443
O -1.531 1.411 -4.218
O -1.550 1.456 0.584
O -3.533 3.889 -0.457
O -2.213 4.166 2.359
O -0.210 1.688 -1.402
K -1.013 5.314 -0.048
K -2.730 0.262 -1.811
Pa -0.333 3.061 -3.211
```

ρ: 4.32 g/cm³
total moment: 1.00 μB per cell
uncorrected formation energy: -2.61 eV/atom